1.
Density functional theory data (GGA-PBE) for LiHf2Zr after structural relaxation.

Geometry as CIF:
```
data_LiHf2Zr
_symmetry_space_group_name_H-M 'P 1'
_symmetry_Int_Tables_number 1
_cell_length_a 4.882
_cell_length_b 4.882
_cell_length_c 4.882
_cell_angle_alpha 60.00
_cell_angle_beta 60.00
_cell_angle_gamma 60.00
loop_
_symmetry_equiv_pos_as_xyz
'x,y,z'
loop_
_atom_site_label
_atom_site_type_symbol
_atom_site_fract_x
_atom_site_fract_y
_atom_site_fract_z
Zr1 Zr 0.500 0.500 0.500
Li1 Li 0.000 0.000 0.000
Hf1 Hf 0.250 0.250 0.250
Hf2 Hf 0.750 0.750 0.750
```

Properties
size of the total moment: 0.00 μB per formula unit
DOS at the Fermi energy: 4.90 states/eV/cell
formation energy: 0.314 eV/atom

---

2.
Density functional theory data (GGA-PBE) for Cs2UGa2O6 after structural relaxation.

Geometry as CIF:
```
data_Cs2UGa2O6
_symmetry_space_group_name_H-M 'P 1'
_symmetry_Int_Tables_number 1
_cell_length_a 6.098
_cell_length_b 6.098
_cell_length_c 7.173
_cell_angle_alpha 64.85
_cell_angle_beta 64.85
_cell_angle_gamma 60.00
loop_
_symmetry_equiv_pos_as_xyz
'x,y,z'
loop_
_atom_site_label
_atom_site_type_symbol
_atom_site_fract_x
_atom_site_fract_y
_atom_site_fract_z
Ga1 Ga 0.566 0.566 0.301
O1 O 0.266 0.772 0.190
O2 O 0.772 0.772 0.190
O3 O 0.772 0.266 0.190
Cs1 Cs 0.225 0.225 0.326
O4 O 0.228 0.734 0.810
O5 O 0.734 0.228 0.810
O6 O 0.228 0.228 0.810
Ga2 Ga 0.434 0.434 0.699
U1 U 0.000 0.000 0.000
Cs2 Cs 0.775 0.775 0.674
```

Properties
size of the total moment: 0.00 μB per formula unit
raw formation energy: -2227.5 meV per atom

---

3.
Density functional theory data (GGA-PBE) for Be2CuAs after structural relaxation.

Geometry as CIF:
```
data_Be2CuAs
_symmetry_space_group_name_H-M 'P 1'
_symmetry_Int_Tables_number 1
_cell_length_a 3.356
_cell_length_b 2.677
_cell_length_c 5.586
_cell_angle_alpha 83.13
_cell_angle_beta 90.00
_cell_angle_gamma 90.00
loop_
_symmetry_equiv_pos_as_xyz
'x,y,z'
loop_
_atom_site_label
_atom_site_type_symbol
_atom_site_fract_x
_atom_site_fract_y
_atom_site_fract_z
Cu1 Cu 0.500 0.250 0.250
As1 As 0.500 0.750 0.750
Be1 Be 0.000 0.771 0.052
Be2 Be 0.000 0.729 0.448
```

Properties
size of the total moment: 0.00 μB per formula unit
DOS at the Fermi energy: 1.06 states/eV/cell
formation energy: 0.243 eV/atom

---

4.
Density functional theory data (GGA-PBE) for ZnGaCl2F after structural relaxation.

Geometry as CIF:
```
data_ZnGaCl2F
_symmetry_space_group_name_H-M 'P 1'
_symmetry_Int_Tables_number 1
_cell_length_a 5.037
_cell_length_b 5.037
_cell_length_c 3.968
_cell_angle_alpha 90.00
_cell_angle_beta 90.00
_cell_angle_gamma 90.00
loop_
_symmetry_equiv_pos_as_xyz
'x,y,z'
loop_
_atom_site_label
_atom_site_type_symbol
_atom_site_fract_x
_atom_site_fract_y
_atom_site_fract_z
Zn1 Zn 0.000 0.000 0.000
F1 F 0.000 0.000 0.500
Ga1 Ga 0.500 0.500 0.500
Cl1 Cl 0.000 0.500 0.000
Cl2 Cl 0.500 0.000 0.000
```

Properties
size of the total moment: 0.00 μB per formula unit
DOS at the Fermi energy: 0.00 states/eV/cell
raw formation energy: -1231.4 meV per atom

---

5.
Density functional theory data (GGA-PBE) for CaTl2Mo after structural relaxation.

Geometry as CIF:
```
data_CaTl2Mo
_symmetry_space_group_name_H-M 'P 1'
_symmetry_Int_Tables_number 1
_cell_length_a 9.911
_cell_length_b 9.911
_cell_length_c 9.911
_cell_angle_alpha 19.62
_cell_angle_beta 19.62
_cell_angle_gamma 19.62
loop_
_symmetry_equiv_pos_as_xyz
'x,y,z'
loop_
_atom_site_label
_atom_site_type_symbol
_atom_site_fract_x
_atom_site_fract_y
_atom_site_fract_z
Tl1 Tl 0.007 0.007 0.007
Ca1 Ca 0.250 0.250 0.250
Mo1 Mo 0.750 0.750 0.750
Tl2 Tl 0.493 0.493 0.493
```

Properties
size of the total moment: 0.85 μB per formula unit
DOS at the Fermi energy: 2.82 states/eV/cell
formation energy: 0.452 eV/atom

---

6.
Density functional theory data (GGA-PBE) for LiTeOs2 after structural relaxation.

Geometry as CIF:
```
data_LiTeOs2
_symmetry_space_group_name_H-M 'P 1'
_symmetry_Int_Tables_number 1
_cell_length_a 4.317
_cell_length_b 4.317
_cell_length_c 3.233
_cell_angle_alpha 90.00
_cell_angle_beta 90.00
_cell_angle_gamma 90.00
loop_
_symmetry_equiv_pos_as_xyz
'x,y,z'
loop_
_atom_site_label
_atom_site_type_symbol
_atom_site_fract_x
_atom_site_fract_y
_atom_site_fract_z
Os1 Os 0.000 0.000 0.000
Os2 Os 0.500 0.500 0.000
Te1 Te 0.500 0.000 0.500
Li1 Li 0.000 0.500 0.500
```

Properties
size of the total moment: 0.00 μB per formula unit
DOS at the Fermi energy: 3.29 states/eV/cell
raw formation energy: 613.1 meV per atom

---

7.
Density functional theory data (GGA-PBE) for Tb2Bi5O12 after structural relaxation.

Geometry as CIF:
```
data_Tb2Bi5O12
_symmetry_space_group_name_H-M 'P 1'
_symmetry_Int_Tables_number 1
_cell_length_a 6.852
_cell_length_b 7.145
_cell_length_c 7.277
_cell_angle_alpha 103.74
_cell_angle_beta 90.00
_cell_angle_gamma 118.65
loop_
_symmetry_equiv_pos_as_xyz
'x,y,z'
loop_
_atom_site_label
_atom_site_type_symbol
_atom_site_fract_x
_atom_site_fract_y
_atom_site_fract_z
Bi1 Bi 0.705 0.410 0.371
Bi2 Bi 0.000 0.000 0.500
O1 O 0.343 0.280 0.532
O2 O 0.880 0.370 0.111
O3 O 0.657 0.720 0.468
Bi3 Bi 0.295 0.590 0.629
O4 O 0.937 0.280 0.532
O5 O 0.510 0.630 0.889
Tb1 Tb 0.756 0.000 0.000
Tb2 Tb 0.244 0.000 0.000
Bi4 Bi 0.302 0.604 0.135
O6 O 0.490 0.370 0.111
O7 O 0.024 0.048 0.807
O8 O 0.484 0.969 0.195
O9 O 0.063 0.720 0.468
O10 O 0.516 0.031 0.805
O11 O 0.976 0.952 0.193
Bi5 Bi 0.698 0.396 0.865
O12 O 0.120 0.630 0.889
```

Properties
size of the total moment: 0.01 μB per formula unit
DOS at the Fermi energy: 8.07 states/eV/cell
raw formation energy: -1640.3 meV per atom

---

8.
Density functional theory data (GGA-PBE) for NaSrHg3 after structural relaxation.

Geometry as CIF:
```
data_NaSrHg3
_symmetry_space_group_name_H-M 'P 1'
_symmetry_Int_Tables_number 1
_cell_length_a 6.212
_cell_length_b 6.212
_cell_length_c 6.212
_cell_angle_alpha 90.00
_cell_angle_beta 90.00
_cell_angle_gamma 90.00
loop_
_symmetry_equiv_pos_as_xyz
'x,y,z'
loop_
_atom_site_label
_atom_site_type_symbol
_atom_site_fract_x
_atom_site_fract_y
_atom_site_fract_z
Sr1 Sr 0.000 0.000 0.000
Hg1 Hg 0.000 0.000 0.500
Na1 Na 0.500 0.500 0.500
Hg2 Hg 0.500 0.000 0.000
Hg3 Hg 0.000 0.500 0.000
```

Properties
size of the total moment: 0.00 μB per formula unit
DOS at the Fermi energy: 3.24 states/eV/cell
formation energy: 0.083 eV/atom

---

9.
Density functional theory data (GGA-PBE) for BaW2Au after structural relaxation.

Geometry as CIF:
```
data_BaW2Au
_symmetry_space_group_name_H-M 'P 1'
_symmetry_Int_Tables_number 1
_cell_length_a 3.289
_cell_length_b 3.361
_cell_length_c 8.839
_cell_angle_alpha 68.66
_cell_angle_beta 90.00
_cell_angle_gamma 90.00
loop_
_symmetry_equiv_pos_as_xyz
'x,y,z'
loop_
_atom_site_label
_atom_site_type_symbol
_atom_site_fract_x
_atom_site_fract_y
_atom_site_fract_z
W1 W 0.500 0.250 0.226
W2 W 0.000 0.937 0.080
Au1 Au 0.000 0.553 0.445
Ba1 Ba 0.500 0.760 0.750
```

Properties
size of the total moment: 0.00 μB per formula unit
DOS at the Fermi energy: 4.25 states/eV/cell
formation energy: 0.514 eV/atom

---

10.
Density functional theory data (GGA-PBE) for HfMgZnMo2 after structural relaxation.

Geometry as CIF:
```
data_HfMgZnMo2
_symmetry_space_group_name_H-M 'P 1'
_symmetry_Int_Tables_number 1
_cell_length_a 4.817
_cell_length_b 5.080
_cell_length_c 4.817
_cell_angle_alpha 90.00
_cell_angle_beta 90.00
_cell_angle_gamma 90.00
loop_
_symmetry_equiv_pos_as_xyz
'x,y,z'
loop_
_atom_site_label
_atom_site_type_symbol
_atom_site_fract_x
_atom_site_fract_y
_atom_site_fract_z
Mo1 Mo 0.500 0.000 0.000
Mg1 Mg 0.500 0.500 0.500
Zn1 Zn 0.000 0.500 0.000
Mo2 Mo 0.000 0.000 0.500
Hf1 Hf 0.000 0.000 0.000
```

Properties
size of the total moment: 1.72 μB per formula unit
DOS at the Fermi energy: 5.29 states/eV/cell
formation energy: 1.489 eV/atom

---

11.
Density functional theory data (GGA-PBE) for Rb2AgHg after structural relaxation.

Geometry as CIF:
```
data_Rb2AgHg
_symmetry_space_group_name_H-M 'P 1'
_symmetry_Int_Tables_number 1
_cell_length_a 9.772
_cell_length_b 9.772
_cell_length_c 7.921
_cell_angle_alpha 51.92
_cell_angle_beta 51.92
_cell_angle_gamma 90.00
loop_
_symmetry_equiv_pos_as_xyz
'x,y,z'
loop_
_atom_site_label
_atom_site_type_symbol
_atom_site_fract_x
_atom_site_fract_y
_atom_site_fract_z
Rb1 Rb 0.375 0.390 0.750
Hg1 Hg 0.000 0.000 0.000
Ag1 Ag 0.250 0.750 0.500
Rb2 Rb 0.610 0.125 0.250
Rb3 Rb 0.875 0.860 0.750
Hg2 Hg 0.750 0.250 0.500
Ag2 Ag 0.500 0.500 0.000
Rb4 Rb 0.140 0.625 0.250
```

Properties
size of the total moment: 0.00 μB per formula unit
DOS at the Fermi energy: 4.97 states/eV/cell
formation energy: 0.053 eV/atom

---

12.
Density functional theory data (GGA-PBE) for BaTaIr2 after structural relaxation.

Geometry as CIF:
```
data_BaTaIr2
_symmetry_space_group_name_H-M 'P 1'
_symmetry_Int_Tables_number 1
_cell_length_a 4.264
_cell_length_b 4.264
_cell_length_c 7.032
_cell_angle_alpha 72.44
_cell_angle_beta 72.44
_cell_angle_gamma 59.98
loop_
_symmetry_equiv_pos_as_xyz
'x,y,z'
loop_
_atom_site_label
_atom_site_type_symbol
_atom_site_fract_x
_atom_site_fract_y
_atom_site_fract_z
Ba1 Ba 0.240 0.240 0.277
Ta1 Ta 0.422 0.422 0.734
Ir1 Ir 0.794 0.794 0.619
Ir2 Ir 0.044 0.044 0.869
```

Properties
size of the total moment: 0.00 μB per formula unit
DOS at the Fermi energy: 2.13 states/eV/cell
formation energy: -0.064 eV/atom